## i
Na3BiPb (PBE, optimized geometry); spin magnetization = 0.0 μB/f.u.; N(E_F) = 3.58 states/eV/f.u.
1.0
-3.421 5.646 4.465
3.421 -5.646 4.465
3.421 5.646 -4.465
Na Bi Pb
6 2 2
Cartesian
1.710 6.021 -2.232
1.710 0.375 2.232
0.000 2.823 0.481
3.421 2.823 3.984
-1.710 5.271 2.232
1.710 5.271 2.232
3.421 2.823 0.715
0.000 2.823 3.749
1.710 2.823 -2.232
1.710 -2.823 2.232


## ii
Na3BiPb (PBE, optimized geometry); spin magnetization = 0.0 μB/f.u.; N(E_F) = 1.71 states/eV/f.u.
1.0
5.905 0.000 0.000
0.175 6.574 0.000
2.882 2.116 7.659
Na Bi Pb
6 2 2
Cartesian
1.063 3.431 2.247
4.083 7.612 6.950
3.784 2.679 3.889
5.179 6.011 3.769
4.880 1.078 0.709
7.900 5.259 5.412
2.279 6.606 2.268
6.684 2.084 5.391
4.900 4.315 6.953
4.063 4.375 0.705


Most stable one: ii, least stable one: i.


## i
NaBiSbPb (PBE, optimized geometry); spin magnetization = 0.0 μB/f.u.; N(E_F) = 2.24 states/eV/f.u.
1.0
3.279 0.000 0.000
0.000 1.661 11.164
0.000 -1.661 11.164
Na Bi Sb Pb
1 1 1 1
Cartesian
0.000 0.000 0.000
1.640 0.000 13.735
1.640 0.000 8.807
1.640 0.000 5.633


## ii
NaBiSbPb (PBE, optimized geometry); spin magnetization = 0.0 μB/f.u.; N(E_F) = 4.89 states/eV/f.u.
1.0
0.000 3.919 3.919
3.919 0.000 3.919
3.919 3.919 0.000
Na Bi Sb Pb
1 1 1 1
Cartesian
0.000 0.000 0.000
5.878 5.878 5.878
1.959 1.959 1.959
3.919 3.919 3.919


Most stable one: i, least stable one: ii.


## i
NaBi2Pd (PBE, optimized geometry); spin magnetization = 0.0 μB/f.u.; N(E_F) = 1.11 states/eV/f.u.
1.0
4.826 0.000 0.000
0.000 4.826 0.000
0.000 0.000 4.132
Na Bi Pd
1 2 1
Cartesian
0.000 0.000 0.000
0.000 2.413 2.066
2.413 0.000 2.066
2.413 2.413 0.000


## ii
NaBi2Pd (PBE, optimized geometry); spin magnetization = 0.0 μB/f.u.; N(E_F) = 1.18 states/eV/f.u.
1.0
2.185 -5.802 0.000
2.185 5.802 0.000
0.000 0.000 8.246
Na Bi Pd
2 4 2
Cartesian
2.185 5.076 6.185
2.185 -5.076 2.062
2.185 1.655 4.477
2.185 1.655 7.893
2.185 -1.655 0.353
2.185 -1.655 3.770
2.185 3.332 2.062
2.185 -3.332 6.185


## iii
NaBi2Pd (PBE, optimized geometry); spin magnetization = 0.0 μB/f.u.; N(E_F) = 1.20 states/eV/f.u.
1.0
2.218 1.280 6.666
-2.218 1.280 6.666
0.000 -2.561 6.666
Na Bi Pd
1 2 1
Cartesian
0.000 0.000 0.000
0.000 0.000 4.527
0.000 0.000 8.797
0.000 0.000 16.669


Most stable one: ii, least stable one: i.


## i
NaBi2Pd9 (PBE, optimized geometry); spin magnetization = 0.0 μB/f.u.; N(E_F) = 12.00 states/eV/f.u.
1.0
2.686 1.551 9.055
-2.686 1.551 9.055
0.000 -3.101 9.055
Na Bi Pd
1 2 9
Cartesian
0.000 0.000 0.000
0.000 0.000 3.533
0.000 0.000 23.631
-1.351 -0.780 11.331
0.000 0.000 9.045
0.000 -1.560 15.833
-1.351 0.780 15.833
0.000 0.000 13.582
1.351 -0.780 11.331
0.000 1.560 11.331
0.000 0.000 18.119
1.351 0.780 15.833


## ii
NaBi2Pd9 (PBE, optimized geometry); spin magnetization = 0.0 μB/f.u.; N(E_F) = 6.56 states/eV/f.u.
1.0
4.129 0.000 0.000
0.000 4.129 0.000
0.000 0.000 12.116
Na Bi Pd
1 2 9
Cartesian
0.000 0.000 0.000
0.000 0.000 3.916
0.000 0.000 8.200
0.000 2.064 1.982
0.000 2.064 6.058
0.000 2.064 10.134
2.064 0.000 1.982
2.064 0.000 6.058
2.064 0.000 10.134
2.064 2.064 0.000
2.064 2.064 4.069
2.064 2.064 8.047


Most stable one: ii, least stable one: i.